1.
# Be2TlSe | Alexandria | PBE | optimized geometry
# Size of the total moment = 0.0 μB per formula unit
# VASP energy = -2.505 eV/atom
# Crystal system = cubic
data_Be2TlSe
_cell_length_a 4.625
_cell_length_b 4.625
_cell_length_c 4.625
_cell_angle_alpha 60.00
_cell_angle_beta 60.00
_cell_angle_gamma 60.00
_symmetry_space_group_name_H-M 'P 1'
_symmetry_Int_Tables_number 1
loop_
_symmetry_equiv_pos_as_xyz
'x,y,z'
loop_
_atom_site_label
_atom_site_fract_x
_atom_site_fract_y
_atom_site_fract_z
Be1 0.250 0.250 0.250
Be2 0.750 0.750 0.750
Se1 0.000 0.000 0.000
Tl1 0.500 0.500 0.500

=====

2.
# UPa2CuN5 | Alexandria | PBE | optimized geometry
# Size of the total moment = 1.1 μB per formula unit
# VASP energy = -9.556 eV/atom
# Crystal system = orthorhombic
data_UPa2CuN5
_cell_length_a 3.391
_cell_length_b 6.833
_cell_length_c 10.424
_cell_angle_alpha 90.00
_cell_angle_beta 90.00
_cell_angle_gamma 104.37
_symmetry_space_group_name_H-M 'P 1'
_symmetry_Int_Tables_number 1
loop_
_symmetry_equiv_pos_as_xyz
'x,y,z'
loop_
_atom_site_label
_atom_site_fract_x
_atom_site_fract_y
_atom_site_fract_z
N1 0.034 0.067 0.077
N2 0.966 0.933 0.577
N3 0.701 0.403 0.840
N4 0.506 0.012 0.289
N5 0.344 0.688 0.008
N6 0.297 0.594 0.650
N7 0.703 0.406 0.150
N8 0.656 0.312 0.508
N9 0.299 0.597 0.340
N10 0.494 0.988 0.789
Pa1 0.127 0.254 0.297
Pa2 0.873 0.746 0.797
Pa3 0.877 0.754 0.182
Pa4 0.123 0.246 0.682
Cu1 0.494 0.989 0.984
Cu2 0.506 0.011 0.484
U1 0.815 0.631 0.496
U2 0.185 0.369 0.996

=====

3.
# ZnGa2Ag7 | Alexandria | PBE | optimized geometry
# Size of the total moment = 0.0 μB per formula unit
# VASP energy = -2.517 eV/atom
# DFT formation energy = 0.212 eV per atom
# Crystal system = orthorhombic
data_ZnGa2Ag7
_cell_length_a 4.305
_cell_length_b 7.692
_cell_length_c 7.692
_cell_angle_alpha 120.48
_cell_angle_beta 90.00
_cell_angle_gamma 90.00
_symmetry_space_group_name_H-M 'P 1'
_symmetry_Int_Tables_number 1
loop_
_symmetry_equiv_pos_as_xyz
'x,y,z'
loop_
_atom_site_label
_atom_site_fract_x
_atom_site_fract_y
_atom_site_fract_z
Ag1 0.500 0.500 0.500
Ag2 0.000 0.202 0.798
Ag3 0.500 0.707 0.923
Ag4 0.500 0.293 0.077
Ag5 0.500 0.923 0.707
Ag6 0.500 0.077 0.293
Ag7 0.000 0.798 0.202
Ga1 0.500 0.308 0.692
Ga2 0.500 0.692 0.308
Zn1 0.000 0.000 0.000

=====

4.
# Tm2Ag2AsO6 | Alexandria | PBE | optimized geometry
# Size of the total moment = 0.1 μB per formula unit
# VASP energy = -6.319 eV/atom
# Crystal system = monoclinic
data_Tm2Ag2AsO6
_cell_length_a 5.784
_cell_length_b 5.784
_cell_length_c 6.450
_cell_angle_alpha 84.46
_cell_angle_beta 84.46
_cell_angle_gamma 120.90
_symmetry_space_group_name_H-M 'P 1'
_symmetry_Int_Tables_number 1
loop_
_symmetry_equiv_pos_as_xyz
'x,y,z'
loop_
_atom_site_label
_atom_site_fract_x
_atom_site_fract_y
_atom_site_fract_z
Ag1 0.158 0.842 0.000
Ag2 0.842 0.158 0.000
O1 0.666 0.666 0.651
O2 0.045 0.733 0.332
O3 0.955 0.267 0.668
O4 0.267 0.955 0.668
O5 0.733 0.045 0.332
O6 0.334 0.334 0.349
Tm1 0.662 0.338 0.500
Tm2 0.338 0.662 0.500
As1 0.000 0.000 0.500